## TmBe3Ge3 (PBE)

Data for a geometry-optimized TmBe3Ge3 structure.

The structure in CIF format:
```
data_TmBe3Ge3
_chemical_formula_sum 'Tm2 Be6 Ge6'
_symmetry_space_group_name_H-M 'P m -3 n'
_symmetry_Int_Tables_number 223
_symmetry_space_group_name_Hall '-P 4n 2 3'
_cell_length_a 6.2377
_cell_length_b 6.2377
_cell_length_c 6.2377
_cell_angle_alpha 90.00
_cell_angle_beta 90.00
_cell_angle_gamma 90.00
loop_
_atom_site_label
_atom_site_type_symbol
_atom_site_fract_x
_atom_site_fract_y
_atom_site_fract_z
_atom_site_occupancy
Tm1 Tm 0.0000 0.0000 0.0000 1
Be1 Be 0.0000 0.2500 0.5000 1
Ge1 Ge 0.0000 0.5000 0.2500 1
```

Values from the calculation:
The volume comes out at 121 Å³/f.u. As for the total energy: -3.98 eV per atom.

## UBeGe (PBE)

Data for a geometry-optimized UBeGe structure.

The structure in CIF format:
```
data_UBeGe
_chemical_formula_sum 'U3 Be3 Ge3'
_symmetry_space_group_name_H-M 'P -6 m 2'
_symmetry_Int_Tables_number 187
_symmetry_space_group_name_Hall 'P -6 2'
_cell_length_a 3.8572
_cell_length_b 3.8572
_cell_length_c 12.3170
_cell_angle_alpha 90.00
_cell_angle_beta 90.00
_cell_angle_gamma 120.00
loop_
_atom_site_label
_atom_site_type_symbol
_atom_site_fract_x
_atom_site_fract_y
_atom_site_fract_z
_atom_site_occupancy
U1 U 0.0000 0.0000 0.0000 1
U2 U 0.0000 0.0000 0.3334 1
Be1 Be 0.3333 0.6667 0.1645 1
Be2 Be 0.6667 0.3333 0.5000 1
Ge1 Ge 0.3333 0.6667 0.5000 1
Ge2 Ge 0.6667 0.3333 0.1678 1
```

Values from the calculation:
The volume comes out at 53 Å³/f.u. As for the total energy: -6.71 eV per atom.

## UBeGe (PBE)

Data for a geometry-optimized UBeGe structure.

The structure in CIF format:
```
data_UBeGe
_chemical_formula_sum 'U1 Be1 Ge1'
_symmetry_space_group_name_H-M 'P -6 m 2'
_symmetry_Int_Tables_number 187
_symmetry_space_group_name_Hall 'P -6 2'
_cell_length_a 3.8536
_cell_length_b 3.8536
_cell_length_c 4.1172
_cell_angle_alpha 90.00
_cell_angle_beta 90.00
_cell_angle_gamma 120.00
loop_
_atom_site_label
_atom_site_type_symbol
_atom_site_fract_x
_atom_site_fract_y
_atom_site_fract_z
_atom_site_occupancy
U1 U 0.0000 0.0000 0.0000 1
Be1 Be 0.6667 0.3333 0.5000 1
Ge1 Ge 0.3333 0.6667 0.5000 1
```

Values from the calculation:
The volume comes out at 53 Å³/f.u. As for the total energy: -6.70 eV per atom.